GGA-PBE CsSbI2N, optimized geometry; polymorph energy (0 for the lowest one) = 1445 meV per atom; volume = 199.1 Å³ per cell; raw formation energy = 1.332 eV per atom
1.0
6.839 0.000 0.000
0.000 6.839 0.000
0.000 0.000 4.257
Sb I N Cs
1 2 1 1
Cartesian
3.420 3.420 2.128 Sb
3.420 0.000 0.000 I
0.000 3.420 0.000 I
0.000 0.000 2.128 N
0.000 0.000 0.000 Cs

GGA-PBE InCoRe3, optimized geometry; polymorph energy (0 for the lowest one) = 0 meV per atom; formation energy = 1.52 eV per atom; volume = 88.6 Å³ per cell
1.0
-3.567 -0.385 -2.648
1.470 -3.969 -1.403
-2.235 -1.995 3.302
Co Re In
1 3 1
Cartesian
0.000 0.000 0.000 Co
0.735 -1.984 -0.701 Re
-1.783 -0.193 -1.324 Re
-1.118 -0.998 1.651 Re
-2.166 -3.175 -0.374 In

GGA-PBE Dy3GaAs2Rh9, optimized geometry; formation energy = -0.44 eV per atom; volume = 303.6 Å³ per cell
1.0
-1.348 1.225 5.971
-4.232 -2.786 -3.647
3.242 -8.045 2.382
Rh Dy As Ga
9 3 2 1
Cartesian
0.596 -5.167 6.345 Rh
-0.485 -2.827 0.470 Rh
-0.674 0.612 2.985 Rh
-3.713 -3.730 1.814 Rh
-2.116 -1.393 -1.824 Rh
-1.852 -6.778 4.235 Rh
1.376 -5.875 2.891 Rh
-2.790 -0.780 1.162 Rh
-2.933 -4.439 -1.639 Rh
0.000 0.000 0.000 Dy
-1.431 -2.291 3.410 Dy
-0.906 -7.315 1.296 Dy
-2.701 -2.861 -0.023 As
0.364 -6.744 4.729 As
1.621 -4.022 1.191 Ga

GGA-PBE TiAlV, optimized geometry; polymorph energy (0 for the lowest one) = 35 meV per atom; formation energy = -0.16 eV per atom; volume = 90.3 Å³ per cell
1.0
4.244 0.000 1.301
1.778 4.522 1.774
0.762 0.542 5.087
Ti V Al
2 2 2
Cartesian
5.226 3.390 5.673 Ti
1.559 1.675 2.489 Ti
3.972 0.810 2.191 V
2.813 4.254 5.972 V
3.137 1.533 4.913 Al
3.647 3.531 3.249 Al

GGA-PBE Sm5Tm2, optimized geometry; formation energy = 0.02 eV per atom; volume = 463.4 Å³ per cell
1.0
-5.319 -3.028 -1.560
3.876 -2.685 -8.002
5.045 -4.815 4.930
Sm Tm
10 4
Cartesian
3.619 -3.639 3.211 Sm
-1.267 -5.596 -1.827 Sm
2.027 -6.992 -1.826 Sm
-0.017 -6.889 -7.842 Sm
1.175 -4.590 0.681 Sm
2.427 -5.938 -5.313 Sm
4.869 -4.933 -2.804 Sm
-3.458 -3.191 -3.299 Sm
2.015 -2.522 -6.263 Sm
1.575 -3.536 -2.806 Sm
4.635 -8.333 -3.835 Tm
-1.033 -2.195 -0.796 Tm
4.447 -5.994 0.679 Tm
-0.845 -4.534 -5.311 Tm